Entry w
# HfTcPt | OQMD via LeMat-Bulk | PBE | optimized geometry
data_HfTcPt
_symmetry_space_group_name_H-M 'F -4 3 m'
_symmetry_Int_Tables_number 216
_symmetry_space_group_name_Hall 'F -4 2 3'
_cell_length_a 6.162
_cell_length_b 6.162
_cell_length_c 6.162
_cell_angle_alpha 90.00
_cell_angle_beta 90.00
_cell_angle_gamma 90.00
loop_
_atom_site_label
_atom_site_fract_x
_atom_site_fract_y
_atom_site_fract_z
_atom_site_occupancy
Hf1 0.000 0.000 0.000 1
Tc1 0.250 0.250 0.250 1
Pt1 0.250 0.250 0.750 1
# M_tot, μB/cell: 0.3



Entry x
# HfTcPt | OQMD via LeMat-Bulk | PBE | optimized geometry
data_HfTcPt
_symmetry_space_group_name_H-M 'F -4 3 m'
_symmetry_Int_Tables_number 216
_symmetry_space_group_name_Hall 'F -4 2 3'
_cell_length_a 6.190
_cell_length_b 6.190
_cell_length_c 6.190
_cell_angle_alpha 90.00
_cell_angle_beta 90.00
_cell_angle_gamma 90.00
loop_
_atom_site_label
_atom_site_fract_x
_atom_site_fract_y
_atom_site_fract_z
_atom_site_occupancy
Hf1 0.000 0.000 0.000 1
Tc1 0.000 0.000 0.500 1
Pt1 0.250 0.250 0.250 1
# M_tot, μB/cell: 2.2



The data favor entry x; the next most stable structure lies 0.128 eV/atom above it.



Entry w
# HfUPt | OQMD via LeMat-Bulk | PBE | optimized geometry
data_HfUPt
_symmetry_space_group_name_H-M 'F -4 3 m'
_symmetry_Int_Tables_number 216
_symmetry_space_group_name_Hall 'F -4 2 3'
_cell_length_a 6.597
_cell_length_b 6.597
_cell_length_c 6.597
_cell_angle_alpha 90.00
_cell_angle_beta 90.00
_cell_angle_gamma 90.00
loop_
_atom_site_label
_atom_site_fract_x
_atom_site_fract_y
_atom_site_fract_z
_atom_site_occupancy
Hf1 0.000 0.000 0.000 1
U1 0.000 0.000 0.500 1
Pt1 0.250 0.250 0.250 1
# M_tot, μB/cell: 13.0



Entry x
# HfUPt | OQMD via LeMat-Bulk | PBE | optimized geometry
data_HfUPt
_symmetry_space_group_name_H-M 'F -4 3 m'
_symmetry_Int_Tables_number 216
_symmetry_space_group_name_Hall 'F -4 2 3'
_cell_length_a 6.542
_cell_length_b 6.542
_cell_length_c 6.542
_cell_angle_alpha 90.00
_cell_angle_beta 90.00
_cell_angle_gamma 90.00
loop_
_atom_site_label
_atom_site_fract_x
_atom_site_fract_y
_atom_site_fract_z
_atom_site_occupancy
Hf1 0.000 0.000 0.000 1
U1 0.250 0.250 0.250 1
Pt1 0.000 0.000 0.500 1
# M_tot, μB/cell: 9.2



The data favor entry w; the next most stable structure lies 0.471 eV/atom above it.



Entry w
# HfZrPt | OQMD via LeMat-Bulk | PBE | optimized geometry
data_HfZrPt
_symmetry_space_group_name_H-M 'P 4/m m m'
_symmetry_Int_Tables_number 123
_symmetry_space_group_name_Hall '-P 4 2'
_cell_length_a 3.340
_cell_length_b 3.340
_cell_length_c 10.620
_cell_angle_alpha 90.00
_cell_angle_beta 90.00
_cell_angle_gamma 90.00
loop_
_atom_site_label
_atom_site_fract_x
_atom_site_fract_y
_atom_site_fract_z
_atom_site_occupancy
Hf1 0.000 0.000 0.154 1
Zr1 0.500 0.500 0.341 1
Pt1 0.000 0.000 0.500 1
Pt2 0.500 0.500 0.000 1
# M_tot, μB/cell: 0.0



Entry x
# HfZrPt | OQMD via LeMat-Bulk | PBE | optimized geometry
data_HfZrPt
_symmetry_space_group_name_H-M 'F -4 3 m'
_symmetry_Int_Tables_number 216
_symmetry_space_group_name_Hall 'F -4 2 3'
_cell_length_a 6.465
_cell_length_b 6.465
_cell_length_c 6.465
_cell_angle_alpha 90.00
_cell_angle_beta 90.00
_cell_angle_gamma 90.00
loop_
_atom_site_label
_atom_site_fract_x
_atom_site_fract_y
_atom_site_fract_z
_atom_site_occupancy
Hf1 0.000 0.000 0.000 1
Zr1 0.000 0.000 0.500 1
Pt1 0.250 0.250 0.250 1
# M_tot, μB/cell: 0.0



The data favor entry w; the next most stable structure lies 0.223 eV/atom above it.



Entry w
# RbHfTlS3 | OQMD via LeMat-Bulk | PBE | optimized geometry
data_RbHfTlS3
_symmetry_space_group_name_H-M 'P n m a'
_symmetry_Int_Tables_number 62
_cell_length_a 14.758
_cell_length_b 3.833
_cell_length_c 12.711
_cell_angle_alpha 90.00
_cell_angle_beta 90.00
_cell_angle_gamma 90.00
loop_
_symmetry_equiv_pos_as_xyz
'x,y,z'
'-x,-y,-z'
'-x+1/2,-y,z+1/2'
'x+1/2,y,-z+1/2'
'x+1/2,-y+1/2,-z+1/2'
'-x+1/2,y+1/2,z+1/2'
'-x,y+1/2,-z'
'x,-y+1/2,z'
loop_
_atom_site_label
_atom_site_fract_x
_atom_site_fract_y
_atom_site_fract_z
_atom_site_occupancy
Rb1 0.080 0.250 0.081 1
Hf1 0.006 0.250 0.644 1
Tl1 0.241 0.250 0.453 1
S1 0.075 0.250 0.812 1
S2 0.094 0.750 0.549 1
S3 0.106 0.250 0.314 1
# M_tot, μB/cell: 0.0



Entry x
# RbHfTlS3 | OQMD via LeMat-Bulk | PBE | optimized geometry
data_RbHfTlS3
_symmetry_space_group_name_H-M 'P 1 21/m 1'
_symmetry_Int_Tables_number 11
_cell_length_a 8.033
_cell_length_b 3.821
_cell_length_c 10.537
_cell_angle_alpha 90.00
_cell_angle_beta 96.89
_cell_angle_gamma 90.00
loop_
_symmetry_equiv_pos_as_xyz
'x,y,z'
'-x,-y,-z'
'-x,y+1/2,-z'
'x,-y+1/2,z'
loop_
_atom_site_label
_atom_site_fract_x
_atom_site_fract_y
_atom_site_fract_z
_atom_site_occupancy
Rb1 0.247 0.250 0.472 1
Hf1 0.413 0.750 0.837 1
Tl1 0.036 0.750 0.147 1
S1 0.142 0.750 0.703 1
S2 0.322 0.250 0.983 1
S3 0.454 0.750 0.279 1
# M_tot, μB/cell: 0.0



The data favor entry x; the next most stable structure lies 0.164 eV/atom above it.